The following is a DFT calculation (GGA-PBE) of a relaxed Pu2ScRh5 crystal.

Unit cell a=5.682 b=5.684 c=5.683 alpha=112.44 beta=112.42 gamma=103.70
Site moments in Bohr magnetons follow the coordinates.
Element x y z (fractional)
Rh1 0.748 0.748 0.445  -0.33
Pu1 0.266 0.767 0.501  4.70
Rh2 0.235 0.234 0.000  -0.37
Rh3 0.303 0.748 0.000  -0.33
Rh4 0.303 0.304 0.555  -0.33
Rh5 0.749 0.304 0.000  -0.33
Pu2 0.766 0.266 0.499  4.70
Sc1 0.853 0.853 0.000  0.13

Summary:
formation energy: -0.521 eV per atom
crystal system: tetragonal

The following is a DFT calculation (GGA-PBE) of a relaxed PuSc5Rh6 crystal.

Unit cell a=4.553 b=6.712 c=7.216 alpha=90.00 beta=71.61 gamma=90.00
Site moments in Bohr magnetons follow the coordinates.
Element x y z (fractional)
Rh1 0.169 0.255 0.663  -0.03
Rh2 0.831 0.745 0.337  -0.03
Rh3 0.169 0.745 0.663  -0.03
Pu1 0.000 0.000 0.000  4.83
Sc1 0.670 0.000 0.661  0.04
Rh4 0.500 0.740 0.000  -0.07
Sc2 0.332 0.500 0.336  0.02
Sc3 0.000 0.500 0.000  0.02
Sc4 0.668 0.500 0.664  0.02
Sc5 0.330 0.000 0.339  0.04
Rh5 0.831 0.255 0.337  -0.03
Rh6 0.500 0.260 0.000  -0.07

Summary:
formation energy: -0.889 eV per atom
crystal system: orthorhombic

The following is a DFT calculation (GGA-PBE) of a relaxed PuScTcRh crystal.

Unit cell a=4.674 b=4.674 c=4.674 alpha=60.00 beta=60.00 gamma=60.00
Site moments in Bohr magnetons follow the coordinates.
Element x y z (fractional)
Rh1 0.500 0.500 0.500  -0.20
Tc1 0.000 0.000 0.000  -0.56
Pu1 0.750 0.750 0.750  4.76
Sc1 0.250 0.250 0.250  0.06

Summary:
formation energy: -0.409 eV per atom
crystal system: cubic

The following is a DFT calculation (GGA-PBE) of a relaxed Pu2RhSe crystal.

Unit cell a=3.907 b=4.177 c=10.993 alpha=100.95 beta=90.00 gamma=90.00
Site moments in Bohr magnetons follow the coordinates.
Element x y z (fractional)
Pu1 0.750 0.063 0.127  5.23
Pu2 0.250 0.937 0.873  5.23
Rh1 0.750 0.451 0.903  -0.35
Se1 0.750 0.816 0.632  -0.10
Pu3 0.750 0.680 0.360  5.41
Pu4 0.250 0.320 0.640  5.41
Se2 0.250 0.184 0.368  -0.10
Rh2 0.250 0.549 0.097  -0.35

Summary:
calculated total energy: -42.847 eV/f.u.
crystal system: orthorhombic

The following is a DFT calculation (GGA-PBE) of a relaxed PuRhSe2 crystal.

Unit cell a=3.718 b=3.718 c=8.660 alpha=77.61 beta=77.61 gamma=60.00
Site moments in Bohr magnetons follow the coordinates.
Element x y z (fractional)
Pu1 0.000 0.000 0.000  5.81
Se1 0.885 0.885 0.344  -0.04
Rh1 0.500 0.500 0.500  0.06
Se2 0.115 0.115 0.656  -0.04

Summary:
calculated total energy: -29.883 eV/f.u.
crystal system: trigonal

The following is a DFT calculation (GGA-PBE) of a relaxed PuRh4Se8 crystal.

Unit cell a=7.614 b=7.614 c=7.263 alpha=58.39 beta=58.39 gamma=60.00
Site moments in Bohr magnetons follow the coordinates.
Element x y z (fractional)
Se1 0.765 0.258 0.212  -0.06
Se2 0.235 0.235 0.788  -0.06
Rh1 0.000 0.500 0.000  -0.04
Se3 0.259 0.259 0.223  0.00
Rh2 0.500 0.500 0.000  -0.04
Se4 0.258 0.765 0.212  -0.06
Rh3 0.500 0.000 0.000  -0.04
Se5 0.765 0.765 0.212  -0.06
Se6 0.741 0.741 0.777  0.00
Rh4 0.000 0.000 0.000  0.07
Pu1 0.500 0.500 0.500  4.89
Se7 0.235 0.742 0.788  -0.06
Se8 0.742 0.235 0.788  -0.06

Summary:
calculated total energy: -79.180 eV/f.u.
crystal system: trigonal

The following is a DFT calculation (GGA-PBE) of a relaxed Pu2RhSe4 crystal.

Unit cell a=4.019 b=7.035 c=11.546 alpha=90.00 beta=90.00 gamma=90.00
Site moments in Bohr magnetons follow the coordinates.
Element x y z (fractional)
Se1 0.000 0.601 0.790  0.10
Se2 0.000 0.101 0.710  0.10
Pu1 0.500 0.621 0.334  -5.24
Pu2 0.500 0.121 0.166  -5.24
Se3 0.500 0.721 0.062  0.06
Se4 0.000 0.399 0.210  0.10
Se5 0.500 0.221 0.438  0.06
Pu3 0.500 0.379 0.666  -5.24
Pu4 0.500 0.879 0.834  -5.24
Se6 0.500 0.779 0.562  0.06
Se7 0.500 0.279 0.938  0.06
Rh1 0.000 0.000 0.500  -0.27
Rh2 0.000 0.500 0.000  -0.27
Se8 0.000 0.899 0.290  0.10

Summary:
calculated total energy: -57.445 eV/f.u.
crystal system: orthorhombic

The following is a DFT calculation (GGA-PBE) of a relaxed Pu2RhSe crystal.

Unit cell a=3.476 b=3.476 c=7.148 alpha=90.00 beta=90.00 gamma=90.00
Site moments in Bohr magnetons follow the coordinates.
Element x y z (fractional)
Se1 0.500 0.500 0.500  -0.11
Pu1 0.000 0.000 0.238  5.31
Pu2 0.000 0.000 0.762  5.31
Rh1 0.500 0.500 0.000  -0.41

Summary:
calculated total energy: -42.774 eV/f.u.
crystal system: tetragonal

The following is a DFT calculation (GGA-PBE) of a relaxed PuTl3Rh2Se6 crystal.

Unit cell a=6.524 b=6.524 c=8.487 alpha=98.25 beta=98.25 gamma=120.25
Site moments in Bohr magnetons follow the coordinates.
Element x y z (fractional)
Tl1 0.157 0.843 0.500  0.00
Se1 0.436 0.069 0.185  -0.07
Se2 0.302 0.302 0.820  -0.08
Rh1 0.667 0.333 0.000  -0.04
Se3 0.069 0.436 0.185  -0.07
Pu1 0.000 0.000 0.000  4.78
Se4 0.564 0.931 0.815  -0.07
Rh2 0.333 0.667 0.000  -0.04
Tl2 0.500 0.500 0.500  0.00
Se5 0.931 0.564 0.815  -0.07
Se6 0.698 0.698 0.180  -0.08
Tl3 0.843 0.157 0.500  0.00

Summary:
calculated total energy: -64.228 eV/f.u.
crystal system: monoclinic

The following is a DFT calculation (GGA-PBE) of a relaxed Pu3Tl3RhSe8 crystal.

Unit cell a=8.105 b=8.108 c=9.205 alpha=116.16 beta=90.00 gamma=119.99
Site moments in Bohr magnetons follow the coordinates.
Element x y z (fractional)
Se1 0.215 0.430 0.688  -0.12
Se2 0.241 0.026 0.311  -0.12
Pu1 0.500 0.000 0.500  4.97
Pu2 0.500 0.500 0.500  4.97
Pu3 0.000 0.500 0.500  4.97
Tl1 0.000 0.500 0.000  -0.02
Tl2 0.000 0.000 0.000  -0.02
Se3 0.785 0.026 0.311  -0.12
Se4 0.759 0.974 0.689  -0.12
Tl3 0.500 0.500 0.000  -0.02
Se5 0.736 0.471 0.707  -0.12
Rh1 0.000 0.000 0.500  0.03
Se6 0.215 0.974 0.689  -0.12
Se7 0.785 0.570 0.312  -0.12
Se8 0.264 0.529 0.293  -0.12

Summary:
calculated total energy: -99.043 eV/f.u.
crystal system: trigonal

The following is a DFT calculation (GGA-PBE) of a relaxed PuSi2Rh2 crystal.

Unit cell a=4.049 b=4.049 c=5.839 alpha=110.33 beta=110.33 gamma=89.99
Site moments in Bohr magnetons follow the coordinates.
Element x y z (fractional)
Rh1 0.250 0.750 0.500  0.01
Pu1 0.000 0.000 0.000  5.13
Si1 0.621 0.621 0.243  -0.01
Si2 0.379 0.379 0.757  -0.01
Rh2 0.750 0.250 0.500  0.01

Summary:
calculated total energy: -44.464 eV/f.u.
crystal system: tetragonal

The following is a DFT calculation (GGA-PBE) of a relaxed Pu4SiRh4 crystal.

Unit cell a=4.795 b=6.078 c=6.078 alpha=81.05 beta=66.77 gamma=66.77
Site moments in Bohr magnetons follow the coordinates.
Element x y z (fractional)
Pu1 0.660 0.699 0.980  0.10
Rh1 0.985 0.344 0.685  0.00
Pu2 0.340 0.301 0.020  0.10
Pu3 0.641 0.020 0.699  0.10
Rh2 0.330 0.685 0.656  0.00
Rh3 0.015 0.656 0.315  0.00
Si1 0.000 0.000 0.000  0.00
Rh4 0.670 0.315 0.344  0.00
Pu4 0.359 0.980 0.301  0.10

Summary:
calculated total energy: -94.305 eV/f.u.
crystal system: tetragonal

The following is a DFT calculation (GGA-PBE) of a relaxed PuSiRh crystal.

Unit cell a=3.950 b=3.946 c=6.479 alpha=90.00 beta=107.75 gamma=90.00
Element x y z (fractional)
Si1 0.869 0.750 0.237
Pu1 0.447 0.250 0.394
Pu2 0.553 0.750 0.606
Rh1 0.242 0.750 0.983
Rh2 0.758 0.250 0.017
Si2 0.131 0.250 0.763

Summary:
calculated total energy: -28.906 eV/f.u.
crystal system: orthorhombic

The following is a DFT calculation (GGA-PBE) of a relaxed PuSiRh crystal.

Unit cell a=3.838 b=4.185 c=4.185 alpha=120.00 beta=90.00 gamma=90.00
Site moments in Bohr magnetons follow the coordinates.
Element x y z (fractional)
Si1 0.167 0.000 0.000  -0.03
Pu1 0.667 0.667 0.333  5.00
Rh1 0.167 0.333 0.667  -0.17

Summary:
calculated total energy: -29.016 eV/f.u.
crystal system: hexagonal

The following is a DFT calculation (GGA-PBE) of a relaxed Pu3Si4Rh7 crystal.

Unit cell a=3.976 b=7.901 c=8.174 alpha=71.18 beta=75.92 gamma=75.43
Site moments in Bohr magnetons follow the coordinates.
Element x y z (fractional)
Si1 0.113 0.114 0.660  -0.01
Rh1 0.504 0.766 0.226  -0.05
Pu1 0.328 0.173 0.170  4.76
Rh2 0.303 0.845 0.548  -0.07
Si2 0.887 0.886 0.340  -0.01
Rh3 0.000 0.000 0.000  -0.21
Rh4 0.165 0.594 0.075  -0.06
Pu2 0.672 0.827 0.830  4.76
Pu3 0.000 0.500 0.500  -5.05
Rh5 0.697 0.155 0.452  -0.07
Si3 0.664 0.449 0.223  0.00
Rh6 0.835 0.406 0.925  -0.06
Rh7 0.496 0.234 0.774  -0.05
Si4 0.336 0.551 0.777  0.00

Summary:
calculated total energy: -127.157 eV/f.u.
crystal system: monoclinic

The following is a DFT calculation (GGA-PBE) of a relaxed Pu2Si5Rh3 crystal.

Unit cell a=5.691 b=8.287 c=8.287 alpha=91.60 beta=68.53 gamma=68.53
Site moments in Bohr magnetons follow the coordinates.
Element x y z (fractional)
Rh1 0.931 0.738 0.458  0.01
Si1 0.335 0.061 0.267  -0.02
Si2 0.750 0.512 0.488  -0.01
Pu1 0.276 0.868 0.598  5.06
Rh2 0.750 0.000 0.000  0.01
Si3 0.750 0.778 0.222  -0.03
Si4 0.665 0.939 0.733  -0.02
Si5 0.835 0.267 0.061  -0.02
Rh3 0.431 0.458 0.738  0.01
Rh4 0.569 0.542 0.262  0.01
Pu2 0.724 0.132 0.402  5.06
Si6 0.250 0.792 0.208  -0.01
Rh5 0.250 0.000 0.000  0.01
Si7 0.750 0.208 0.792  -0.01
Si8 0.250 0.222 0.778  -0.03
Si9 0.165 0.733 0.939  -0.02
Pu3 0.224 0.402 0.132  5.06
Pu4 0.776 0.598 0.868  5.06
Si10 0.250 0.488 0.512  -0.01
Rh6 0.069 0.262 0.542  0.01

Summary:
calculated total energy: -85.748 eV/f.u.
crystal system: monoclinic

The following is a DFT calculation (GGA-PBE) of a relaxed Pu3Si5Rh6 crystal.

Unit cell a=3.967 b=9.786 c=12.392 alpha=90.00 beta=90.00 gamma=90.00
Site moments in Bohr magnetons follow the coordinates.
Element x y z (fractional)
Si1 0.000 0.849 0.324  -0.01
Si2 0.000 0.849 0.676  -0.01
Pu1 0.000 0.253 0.651  5.08
Pu2 0.500 0.747 0.849  5.08
Rh1 0.500 0.517 0.000  -0.19
Si3 0.500 0.489 0.623  -0.01
Pu3 0.000 0.261 0.000  5.10
Rh2 0.500 0.989 0.331  -0.01
Si4 0.000 0.511 0.123  -0.01
Rh3 0.500 0.398 0.201  -0.04
Rh4 0.000 0.975 0.500  -0.02
Pu4 0.500 0.739 0.500  5.10
Si5 0.000 0.511 0.877  -0.01
Pu5 0.500 0.747 0.151  5.08
Rh5 0.500 0.398 0.799  -0.04
Rh6 0.000 0.602 0.701  -0.04
Si6 0.000 0.890 0.000  -0.02
Pu6 0.000 0.253 0.349  5.08
Rh7 0.000 0.011 0.169  -0.01
Si7 0.500 0.489 0.377  -0.01
Si8 0.500 0.110 0.500  -0.02
Rh8 0.000 0.602 0.299  -0.04
Rh9 0.500 0.989 0.669  -0.01
Rh10 0.500 0.025 0.000  -0.02
Si9 0.500 0.151 0.824  -0.01
Si10 0.500 0.151 0.176  -0.01
Rh11 0.000 0.483 0.500  -0.19
Rh12 0.000 0.011 0.831  -0.01

Summary:
calculated total energy: -125.689 eV/f.u.
crystal system: orthorhombic

The following is a DFT calculation (GGA-PBE) of a relaxed Pu3Si4Rh2 crystal.

Unit cell a=4.061 b=5.951 c=8.029 alpha=109.50 beta=90.00 gamma=109.95
Site moments in Bohr magnetons follow the coordinates.
Element x y z (fractional)
Rh1 0.304 0.608 0.646  -0.01
Rh2 0.696 0.392 0.354  -0.01
Si1 0.727 0.454 0.074  -0.05
Pu1 0.400 0.799 0.314  5.07
Si2 0.103 0.206 0.398  -0.03
Si3 0.897 0.794 0.602  -0.03
Pu2 0.600 0.201 0.686  5.07
Si4 0.273 0.546 0.926  -0.05
Pu3 0.000 0.000 0.000  5.18

Summary:
calculated total energy: -85.372 eV/f.u.
crystal system: monoclinic

The following is a DFT calculation (GGA-PBE) of a relaxed Pu2Si2Rh3 crystal.

Unit cell a=3.312 b=5.731 c=7.365 alpha=120.89 beta=90.00 gamma=106.79
Element x y z (fractional)
Rh1 0.400 0.801 0.561
Rh2 0.500 0.000 0.000
Pu1 0.822 0.644 0.126
Rh3 0.600 0.199 0.439
Pu2 0.178 0.356 0.874
Si1 0.156 0.312 0.262
Si2 0.844 0.688 0.738

Summary:
calculated total energy: -65.266 eV/f.u.
crystal system: monoclinic

The following is a DFT calculation (GGA-PBE) of a relaxed PuSi2Rh6 crystal.

Unit cell a=7.643 b=7.643 c=7.643 alpha=60.00 beta=60.00 gamma=60.00
Site moments in Bohr magnetons follow the coordinates.
Element x y z (fractional)
Rh1 0.257 0.743 0.257  -0.19
Rh2 0.507 0.507 0.993  -0.19
Rh3 0.743 0.743 0.257  -0.19
Rh4 0.507 0.993 0.507  -0.19
Rh5 0.257 0.743 0.743  -0.19
Rh6 0.257 0.257 0.743  -0.19
Rh7 0.507 0.993 0.993  -0.19
Si1 0.125 0.625 0.125  0.02
Rh8 0.993 0.507 0.507  -0.19
Pu1 0.500 0.500 0.500  4.35
Si2 0.125 0.125 0.625  0.02
Rh9 0.993 0.507 0.993  -0.19
Rh10 0.743 0.257 0.257  -0.19
Rh11 0.993 0.993 0.507  -0.19
Si3 0.625 0.125 0.125  0.02
Rh12 0.743 0.257 0.743  -0.19
Pu2 0.750 0.750 0.750  4.35
Si4 0.125 0.125 0.125  0.02

Summary:
calculated total energy: -70.990 eV/f.u.
crystal system: cubic